## a
SrCa2Pt | GGA-PBE | relaxed

Output
Symmetry = C2/m (12)
Spin magnetization = 0.0 Bohr magnetons per cell

abc: 6.6045 6.6045 3.8963
angles: 105.60 105.60 120.21
Fractional positions:
Sr 0.0000 0.0000 0.0000
Ca 0.0000 0.5000 0.5000
Ca 0.5000 0.0000 0.5000
Pt 0.5000 0.5000 0.0000

## b
SrCa2Pt | GGA-PBE | relaxed

Output
Symmetry = Imm2 (44)
Spin magnetization = 0.0 Bohr magnetons per cell

abc: 8.1774 8.1774 8.1774
angles: 154.08 144.65 44.36
Fractional positions:
Sr 0.0000 0.0000 0.0000
Ca 0.3237 0.3237 0.0000
Ca 0.6692 0.1692 0.5000
Pt 0.1698 0.6698 0.5000

The structure with the most favorable energy is b; the runner-up is 39.4 kJ/mol of atoms above it.

## a
SrCaPt | GGA-PBE | relaxed

Output
Symmetry = F-43m (216)
Spin magnetization = 0.0 Bohr magnetons per cell

abc: 5.0664 5.0664 5.0664
angles: 60.00 60.00 60.00
Fractional positions:
Sr 0.0000 0.0000 0.0000
Ca 0.2500 0.2500 0.2500
Pt 0.7500 0.7500 0.7500

## b
SrCaPt | GGA-PBE | relaxed

Output
Symmetry = P3m1 (156)
Spin magnetization = 0.0 Bohr magnetons per cell

abc: 4.3078 4.3078 6.6903
angles: 90.00 90.00 120.00
Fractional positions:
Sr 0.0000 0.0000 0.0000
Ca 0.6667 0.3333 0.5335
Pt 0.3333 0.6667 0.7461

## c
SrCaPt | GGA-PBE | relaxed

Output
Symmetry = F-43m (216)
Spin magnetization = 0.0 Bohr magnetons per cell

abc: 5.0903 5.0903 5.0903
angles: 60.00 60.00 60.00
Fractional positions:
Sr 0.0000 0.0000 0.0000
Ca 0.5000 0.5000 0.5000
Pt 0.7500 0.7500 0.7500

## d
SrCaPt | GGA-PBE | relaxed

Output
Symmetry = Pbca (61)
Spin magnetization = 0.0 Bohr magnetons per cell

abc: 7.0725 13.8578 7.5849
angles: 90.00 90.00 90.00
Fractional positions:
Sr 0.1881 0.1972 0.1046
Sr 0.1881 0.3028 0.6046
Sr 0.3119 0.6972 0.1046
Sr 0.3119 0.8028 0.6046
Sr 0.6881 0.1972 0.3954
Sr 0.6881 0.3028 0.8954
Sr 0.8119 0.6972 0.3954
Sr 0.8119 0.8028 0.8954
Ca 0.0006 0.5301 0.7636
Ca 0.0006 0.9699 0.2636
Ca 0.4994 0.0301 0.7636
Ca 0.4994 0.4699 0.2636
Ca 0.5006 0.5301 0.7364
Ca 0.5006 0.9699 0.2364
Ca 0.9994 0.0301 0.7364
Ca 0.9994 0.4699 0.2364
Pt 0.2304 0.5994 0.4624
Pt 0.2304 0.9006 0.9624
Pt 0.2696 0.0994 0.4624
Pt 0.2696 0.4006 0.9624
Pt 0.7304 0.5994 0.0376
Pt 0.7304 0.9006 0.5376
Pt 0.7696 0.0994 0.0376
Pt 0.7696 0.4006 0.5376

The structure with the most favorable energy is d; the runner-up is 4.6 kJ/mol of atoms above it.

## a
SrCa4Pt | GGA-PBE | relaxed

Output
Symmetry = P2_1/c (14)
Spin magnetization = 0.0 Bohr magnetons per cell

abc: 10.2790 7.1904 6.7402
angles: 90.00 99.10 90.00
Fractional positions:
Sr 0.0000 0.0000 0.0000
Sr 0.0000 0.5000 0.5000
Ca 0.2483 0.1052 0.5680
Ca 0.2483 0.3948 0.0680
Ca 0.3971 0.6440 0.6229
Ca 0.3971 0.8560 0.1229
Ca 0.6029 0.1440 0.8771
Ca 0.6029 0.3560 0.3771
Ca 0.7517 0.6052 0.9320
Ca 0.7517 0.8948 0.4320
Pt 0.5000 0.0000 0.5000
Pt 0.5000 0.5000 0.0000

## b
SrCa4Pt | GGA-PBE | relaxed

Output
Symmetry = F-43m (216)
Spin magnetization = 0.0 Bohr magnetons per cell

abc: 6.7735 6.7735 6.7735
angles: 60.00 60.00 60.00
Fractional positions:
Sr 0.0000 0.0000 0.0000
Ca 0.1279 0.6240 0.6240
Ca 0.6240 0.1279 0.6240
Ca 0.6240 0.6240 0.1279
Ca 0.6240 0.6240 0.6240
Pt 0.2500 0.2500 0.2500

The structure with the most favorable energy is a; the runner-up is 62.4 kJ/mol of atoms above it.

## a
Sr3CaPt | GGA-PBE | relaxed

Output
Symmetry = Pm-3m (221)
Spin magnetization = 2.8 Bohr magnetons per cell

abc: 6.2320 6.2320 6.2320
angles: 90.00 90.00 90.00
Fractional positions:
Sr 0.0000 0.0000 0.5000
Sr 0.0000 0.5000 0.0000
Sr 0.5000 0.0000 0.0000
Ca 0.0000 0.0000 0.0000
Pt 0.5000 0.5000 0.5000

## b
Sr3CaPt | GGA-PBE | relaxed

Output
Symmetry = C2/c (15)
Spin magnetization = 0.0 Bohr magnetons per cell

abc: 8.4347 8.4347 14.6169
angles: 104.82 104.82 60.19
Fractional positions:
Sr 0.1181 0.6353 0.8743
Sr 0.1252 0.6217 0.3755
Sr 0.3647 0.8819 0.6257
Sr 0.3679 0.3838 0.1242
Sr 0.3783 0.8748 0.1245
Sr 0.3838 0.3679 0.6242
Sr 0.6162 0.6321 0.3758
Sr 0.6217 0.1252 0.8755
Sr 0.6321 0.6162 0.8758
Sr 0.6353 0.1181 0.3743
Sr 0.8748 0.3783 0.6245
Sr 0.8819 0.3647 0.1257
Ca 0.1017 0.1507 0.8744
Ca 0.1507 0.1017 0.3744
Ca 0.8493 0.8983 0.6256
Ca 0.8983 0.8493 0.1256
Pt 0.0000 0.5000 0.0000
Pt 0.2430 0.7570 0.2500
Pt 0.5000 0.0000 0.5000
Pt 0.7570 0.2430 0.7500

## c
Sr3CaPt | GGA-PBE | relaxed

Output
Symmetry = Pm-3m (221)
Spin magnetization = 0.0 Bohr magnetons per cell

abc: 6.0015 6.0015 6.0015
angles: 90.00 90.00 90.00
Fractional positions:
Sr 0.0000 0.0000 0.5000
Sr 0.0000 0.5000 0.0000
Sr 0.5000 0.0000 0.0000
Ca 0.5000 0.5000 0.5000
Pt 0.0000 0.0000 0.0000

The structure with the most favorable energy is b; the runner-up is 3.5 kJ/mol of atoms above it.